No. 1
CrCd2Co | PBE | relaxed

Cell and atoms, written as POSCAR:
```
CrCd2Co
1.0
3.932 0.000 0.000
0.000 2.784 0.006
0.000 1.545 5.886
Cd Co Cr
2 1 1
Direct
0.000 0.974 0.970
0.500 0.289 0.281
0.000 0.600 0.542
0.500 0.637 0.707
```

## Properties
ΔH_f (0 K): 0.46 eV per atom
volume: 16.10 A^3/atom
DOS at the Fermi energy: 3.124 states/eV/f.u.
VASP energy: -16.7 eV/cell



No. 2
TiMn2Ir | PBE | relaxed

Cell and atoms, written as POSCAR:
```
TiMn2Ir
1.0
2.808 0.038 3.206
-1.371 0.167 4.032
0.395 -3.408 2.528
Mn Ir Ti
2 1 1
Direct
0.750 0.750 0.750
0.250 0.250 0.250
0.500 0.500 0.500
0.000 0.000 0.000
```

## Properties
ΔH_f (0 K): -0.23 eV per atom
volume: 13.68 A^3/atom
DOS at the Fermi energy: 6.279 states/eV/f.u.
VASP energy: -36.0 eV/cell



No. 3
Gd2RhPb | PBE | relaxed

Cell and atoms, written as POSCAR:
```
Gd2RhPb
1.0
-0.892 2.325 2.957
0.597 -1.178 3.634
7.808 3.702 1.974
Gd Rh Pb
2 1 1
Direct
0.732 0.732 0.805
0.268 0.268 0.195
0.000 0.000 0.000
0.500 0.500 0.500
```

## Properties
ΔH_f (0 K): -0.56 eV per atom
volume: 27.76 A^3/atom
DOS at the Fermi energy: 2.913 states/eV/f.u.
VASP energy: -41.5 eV/cell



No. 4
Sc2Ge2Ir | PBE | relaxed

Cell and atoms, written as POSCAR:
```
Sc2Ge2Ir
1.0
3.978 0.000 0.000
1.989 4.951 0.145
1.989 1.775 4.624
Sc Ge Ir
2 2 1
Direct
0.790 0.710 0.710
0.210 0.290 0.290
0.500 0.728 0.272
0.500 0.272 0.728
0.000 0.000 0.000
```

## Properties
ΔH_f (0 K): -0.81 eV per atom
volume: 18.01 A^3/atom
DOS at the Fermi energy: 3.583 states/eV/f.u.
VASP energy: -34.8 eV/cell



No. 5
La2PmHoSe5 | PBE | relaxed

Cell and atoms, written as POSCAR:
```
La2PmHoSe5
1.0
5.117 0.000 0.000
0.000 5.117 0.000
0.000 0.000 10.931
Se La Pm Ho
5 2 1 1
Direct
0.000 0.000 0.249
0.000 0.500 0.500
0.500 0.000 0.500
0.000 0.000 0.751
0.500 0.500 0.000
0.500 0.500 0.688
0.500 0.500 0.312
0.000 0.000 0.000
0.000 0.000 0.500
```

## Properties
volume: 31.80 A^3/atom
DOS at the Fermi energy: 6.311 states/eV/f.u.
VASP energy: -49.6 eV/cell



No. 6
ErAlIn2Se6 | PBE | relaxed

Cell and atoms, written as POSCAR:
```
ErAlIn2Se6
1.0
-2.206 -6.066 2.656
1.781 -6.478 -7.057
7.664 -3.335 5.007
Se Er Al In
12 2 2 4
Direct
0.573 0.105 0.659
0.666 0.814 0.936
0.334 0.186 0.064
0.166 0.936 0.814
0.520 0.452 0.295
0.480 0.548 0.705
0.927 0.341 0.895
0.834 0.064 0.186
0.427 0.895 0.341
0.020 0.295 0.452
0.980 0.705 0.548
0.073 0.659 0.105
0.750 0.086 0.914
0.250 0.914 0.086
0.750 0.841 0.159
0.250 0.159 0.841
0.117 0.512 0.320
0.617 0.320 0.512
0.383 0.680 0.488
0.883 0.488 0.680
```

## Properties
volume: 31.09 A^3/atom
VASP energy: -87.2 eV/cell



No. 7
Na2La4Sb3O2 | PBE | relaxed

Cell and atoms, written as POSCAR:
```
Na2La4Sb3O2
1.0
4.985 0.000 0.000
0.000 4.985 0.000
-2.493 -2.493 12.882
Sb O Na La
3 2 2 4
Direct
0.172 0.172 0.345
0.000 0.000 0.000
0.828 0.828 0.655
0.594 0.594 0.188
0.406 0.406 0.812
0.704 0.704 0.407
0.296 0.296 0.593
0.090 0.590 0.180
0.410 0.910 0.820
0.590 0.090 0.180
0.910 0.410 0.820
```

## Properties
volume: 29.10 A^3/atom
DOS at the Fermi energy: 1.549 states/eV/f.u.
VASP energy: -61.9 eV/cell



No. 8
K3Ce2PdS6 | PBE | relaxed

Cell and atoms, written as POSCAR:
```
K3Ce2PdS6
1.0
7.039 -0.081 0.027
-3.589 6.057 0.027
-1.123 -1.945 7.328
S Pd Ce K
6 1 2 3
Direct
0.068 0.415 0.209
0.252 0.252 0.814
0.748 0.748 0.186
0.585 0.932 0.791
0.415 0.068 0.209
0.932 0.585 0.791
0.000 0.000 0.000
0.667 0.333 0.000
0.333 0.667 0.000
0.500 0.500 0.500
0.159 0.841 0.500
0.841 0.159 0.500
```

## Properties
volume: 25.92 A^3/atom
DOS at the Fermi energy: 6.174 states/eV/f.u.
VASP energy: -61.6 eV/cell



No. 9
GaFe3B | PBE | relaxed

Cell and atoms, written as POSCAR:
```
GaFe3B
1.0
-0.169 0.199 2.802
-0.755 -4.841 -1.115
7.898 -1.144 0.558
Fe B Ga
6 2 2
Direct
0.430 0.861 0.154
0.570 0.139 0.846
0.230 0.460 0.635
0.947 0.893 0.635
0.053 0.107 0.365
0.770 0.540 0.365
0.587 0.174 0.555
0.413 0.826 0.445
0.841 0.683 0.903
0.159 0.317 0.097
```

## Properties
ΔH_f (0 K): -0.16 eV per atom
volume: 10.86 A^3/atom
DOS at the Fermi energy: 4.064 states/eV/f.u.
VASP energy: -71.8 eV/cell



No. 10
Re4PbAu | PBE | relaxed

Cell and atoms, written as POSCAR:
```
Re4PbAu
1.0
-2.730 -1.560 4.294
-3.721 3.181 2.088
-5.147 -1.281 -0.440
Re Pb Au
4 1 1
Direct
0.377 0.377 0.377
0.377 0.870 0.377
0.870 0.377 0.377
0.377 0.377 0.870
0.000 0.000 0.000
0.750 0.750 0.750
```

## Properties
ΔH_f (0 K): 0.89 eV per atom
volume: 17.77 A^3/atom
DOS at the Fermi energy: 6.431 states/eV/f.u.
VASP energy: -51.5 eV/cell



No. 11
SrZnIn2Co | PBE | relaxed

Cell and atoms, written as POSCAR:
```
SrZnIn2Co
1.0
4.964 0.000 0.000
0.000 4.964 0.000
0.000 0.000 4.833
Co Zn In Sr
1 1 2 1
Direct
0.000 0.000 0.000
0.000 0.000 0.500
0.500 0.000 0.000
0.000 0.500 0.000
0.500 0.500 0.500
```

## Properties
ΔH_f (0 K): -0.16 eV per atom
volume: 23.83 A^3/atom
DOS at the Fermi energy: 3.337 states/eV/f.u.
VASP energy: -16.3 eV/cell



No. 12
ScAlPb2 | PBE | relaxed

Cell and atoms, written as POSCAR:
```
ScAlPb2
1.0
3.470 0.000 0.000
0.000 5.578 0.000
0.000 0.000 5.209
Pb Al Sc
2 1 1
Direct
0.500 0.500 0.000
0.000 0.000 0.000
0.000 0.500 0.500
0.500 0.000 0.500
```

## Properties
ΔH_f (0 K): 0.00 eV per atom
volume: 25.21 A^3/atom
DOS at the Fermi energy: 3.025 states/eV/f.u.
VASP energy: -17.5 eV/cell



> Among the records above, which one has the highest VASP energy?

SrZnIn2Co